1.
## K2MgOs (PBE)

Data for a relaxed structure of K2MgOs.

abc: 9.3033 2.8202 9.8134
angles: 90.00 91.61 90.00
Sites, in units of the cell vectors:
K (0.0000, 0.0000, 0.0000)
K (0.2341, 0.0000, 0.5749)
K (0.5000, 0.5000, 0.0000)
K (0.7341, 0.5000, 0.5749)
Mg (0.4794, 0.0000, 0.3270)
Mg (0.9794, 0.5000, 0.3270)
Os (0.2452, 0.5000, 0.2472)
Os (0.7452, 0.0000, 0.2472)

Computed properties:
Space-group type: Cm
Spin magnetization, Bohr magnetons per cell: 0.000
ΔH_f (0 K), eV/atom: 0.79

---

2.
## KMgOs2 (PBE)

Data for a relaxed structure of KMgOs2.

abc: 6.5557 6.5557 6.5557
angles: 90.00 90.00 90.00
Sites, in units of the cell vectors:
K (0.0000, 0.0000, 0.0000)
K (0.0000, 0.5000, 0.5000)
K (0.5000, 0.0000, 0.5000)
K (0.5000, 0.5000, 0.0000)
Mg (0.2500, 0.2500, 0.2500)
Mg (0.2500, 0.7500, 0.7500)
Mg (0.7500, 0.2500, 0.7500)
Mg (0.7500, 0.7500, 0.2500)
Os (0.0000, 0.0000, 0.5000)
Os (0.0000, 0.5000, 0.0000)
Os (0.2500, 0.2500, 0.7500)
Os (0.2500, 0.7500, 0.2500)
Os (0.5000, 0.0000, 0.0000)
Os (0.5000, 0.5000, 0.5000)
Os (0.7500, 0.2500, 0.2500)
Os (0.7500, 0.7500, 0.7500)

Computed properties:
Space-group type: F-43m
Spin magnetization, Bohr magnetons per cell: 0.000
ΔH_f (0 K), eV/atom: 1.22

---

3.
## K2MgOs (PBE)

Data for a relaxed structure of K2MgOs.

abc: 3.4018 4.7359 12.1974
angles: 90.00 90.00 90.00
Sites, in units of the cell vectors:
K (0.0000, 0.0000, 0.2210)
K (0.0000, 0.0000, 0.7790)
K (0.5000, 0.5000, 0.2210)
K (0.5000, 0.5000, 0.7790)
Mg (0.0000, 0.5000, 0.5000)
Mg (0.5000, 0.0000, 0.5000)
Os (0.0000, 0.5000, 0.0000)
Os (0.5000, 0.0000, 0.0000)

Computed properties:
Space-group type: Cmmm
Spin magnetization, Bohr magnetons per cell: 0.000
ΔH_f (0 K), eV/atom: 1.06

---

4.
## KMgOs2 (PBE)

Data for a relaxed structure of KMgOs2.

abc: 5.6170 9.9200 2.6090
angles: 90.00 90.00 90.00
Sites, in units of the cell vectors:
K (0.0000, 0.0000, 0.0000)
K (0.5000, 0.5000, 0.0000)
Mg (0.0000, 0.5000, 0.0000)
Mg (0.5000, 0.0000, 0.0000)
Os (0.2500, 0.2500, 0.5000)
Os (0.2500, 0.7500, 0.5000)
Os (0.7500, 0.2500, 0.5000)
Os (0.7500, 0.7500, 0.5000)

Computed properties:
Space-group type: Cmmm
Spin magnetization, Bohr magnetons per cell: 0.000
ΔH_f (0 K), eV/atom: 1.18

---

5.
## KMgOs4 (PBE)

Data for a relaxed structure of KMgOs4.

abc: 5.3225 5.3225 5.3225
angles: 60.00 60.00 60.00
Sites, in units of the cell vectors:
K (0.0000, 0.0000, 0.0000)
Mg (0.7500, 0.7500, 0.7500)
Os (0.3755, 0.3755, 0.3755)
Os (0.3755, 0.3755, 0.8736)
Os (0.3755, 0.8736, 0.3755)
Os (0.8736, 0.3755, 0.3755)

Computed properties:
Space-group type: F-43m
Spin magnetization, Bohr magnetons per cell: 0.546
ΔH_f (0 K), eV/atom: 0.84

---

6.
## KMgOs2 (PBE)

Data for a relaxed structure of KMgOs2.

abc: 2.7736 4.8642 5.2617
angles: 90.00 90.00 90.00
Sites, in units of the cell vectors:
K (0.0000, 0.0000, 0.0000)
Mg (0.5000, 0.5000, 0.0000)
Os (0.0000, 0.5000, 0.5000)
Os (0.5000, 0.0000, 0.5000)

Computed properties:
Space-group type: Pmmm
Spin magnetization, Bohr magnetons per cell: 0.000
ΔH_f (0 K), eV/atom: 1.15

---

7.
## KMg2Os (PBE)

Data for a relaxed structure of KMg2Os.

abc: 3.5291 3.5291 8.3693
angles: 90.00 90.00 90.00
Sites, in units of the cell vectors:
K (0.0000, 0.0000, 0.0000)
Mg (0.0000, 0.0000, 0.6032)
Mg (0.5000, 0.5000, 0.3829)
Os (0.5000, 0.5000, 0.6994)

Computed properties:
Space-group type: P4mm
Spin magnetization, Bohr magnetons per cell: 0.521
Polymorph energy (0 for the lowest one), eV/atom: 0.2297
ΔH_f (0 K), eV/atom: 0.67

---

8.
## KMg2Os (PBE)

Data for a relaxed structure of KMg2Os.

abc: 7.0008 7.0008 7.0008
angles: 90.00 90.00 90.00
Sites, in units of the cell vectors:
K (0.0000, 0.0000, 0.0000)
K (0.0000, 0.5000, 0.5000)
K (0.5000, 0.0000, 0.5000)
K (0.5000, 0.5000, 0.0000)
Mg (0.0000, 0.0000, 0.5000)
Mg (0.0000, 0.5000, 0.0000)
Mg (0.2500, 0.2500, 0.2500)
Mg (0.2500, 0.7500, 0.7500)
Mg (0.5000, 0.0000, 0.0000)
Mg (0.5000, 0.5000, 0.5000)
Mg (0.7500, 0.2500, 0.7500)
Mg (0.7500, 0.7500, 0.2500)
Os (0.2500, 0.2500, 0.7500)
Os (0.2500, 0.7500, 0.2500)
Os (0.7500, 0.2500, 0.2500)
Os (0.7500, 0.7500, 0.7500)

Computed properties:
Space-group type: F-43m
Spin magnetization, Bohr magnetons per cell: 0.000
Polymorph energy (0 for the lowest one), eV/atom: 0.5642
ΔH_f (0 K), eV/atom: 1.01

---

9.
## K2MgOs (PBE)

Data for a relaxed structure of K2MgOs.

abc: 7.3939 7.3939 7.3939
angles: 90.00 90.00 90.00
Sites, in units of the cell vectors:
K (0.0000, 0.0000, 0.0000)
K (0.0000, 0.5000, 0.5000)
K (0.2500, 0.2500, 0.2500)
K (0.2500, 0.7500, 0.7500)
K (0.5000, 0.0000, 0.5000)
K (0.5000, 0.5000, 0.0000)
K (0.7500, 0.2500, 0.7500)
K (0.7500, 0.7500, 0.2500)
Mg (0.2500, 0.2500, 0.7500)
Mg (0.2500, 0.7500, 0.2500)
Mg (0.7500, 0.2500, 0.2500)
Mg (0.7500, 0.7500, 0.7500)
Os (0.0000, 0.0000, 0.5000)
Os (0.0000, 0.5000, 0.0000)
Os (0.5000, 0.0000, 0.0000)
Os (0.5000, 0.5000, 0.5000)

Computed properties:
Space-group type: F-43m
Spin magnetization, Bohr magnetons per cell: 1.169
ΔH_f (0 K), eV/atom: 1.18

---

10.
## K2MgOs (PBE)

Data for a relaxed structure of K2MgOs.

abc: 4.1062 4.1062 23.4426
angles: 90.00 90.00 90.00
Sites, in units of the cell vectors:
K (0.2460, 0.2500, 0.1250)
K (0.2500, 0.7460, 0.3750)
K (0.2500, 0.7540, 0.8750)
K (0.2540, 0.2500, 0.6250)
K (0.7460, 0.7500, 0.6250)
K (0.7500, 0.2460, 0.8750)
K (0.7500, 0.2540, 0.3750)
K (0.7540, 0.7500, 0.1250)
Mg (0.0000, 0.0000, 0.5000)
Mg (0.0000, 0.5000, 0.7500)
Mg (0.5000, 0.0000, 0.2500)
Mg (0.5000, 0.5000, 0.0000)
Os (0.0000, 0.0000, 0.0000)
Os (0.0000, 0.5000, 0.2500)
Os (0.5000, 0.0000, 0.7500)
Os (0.5000, 0.5000, 0.5000)

Computed properties:
Space-group type: I-42d
Spin magnetization, Bohr magnetons per cell: 0.000
ΔH_f (0 K), eV/atom: 1.25

---

11.
## KMgOs2 (PBE)

Data for a relaxed structure of KMgOs2.

abc: 4.3057 4.3057 19.8123
angles: 90.00 90.00 90.00
Sites, in units of the cell vectors:
K (0.0000, 0.0000, 0.0000)
K (0.0000, 0.5000, 0.2500)
K (0.5000, 0.0000, 0.7500)
K (0.5000, 0.5000, 0.5000)
Mg (0.0000, 0.0000, 0.5000)
Mg (0.0000, 0.5000, 0.7500)
Mg (0.5000, 0.0000, 0.2500)
Mg (0.5000, 0.5000, 0.0000)
Os (0.1254, 0.7500, 0.6250)
Os (0.2500, 0.1254, 0.3750)
Os (0.2500, 0.3746, 0.8750)
Os (0.3746, 0.7500, 0.1250)
Os (0.6254, 0.2500, 0.1250)
Os (0.7500, 0.6254, 0.8750)
Os (0.7500, 0.8746, 0.3750)
Os (0.8746, 0.2500, 0.6250)

Computed properties:
Space-group type: I-42d
Spin magnetization, Bohr magnetons per cell: 0.000
ΔH_f (0 K), eV/atom: 1.18

---

12.
## KMg2Os (PBE)

Data for a relaxed structure of KMg2Os.

abc: 6.9346 6.9346 6.9346
angles: 90.00 90.00 90.00
Sites, in units of the cell vectors:
K (0.0000, 0.0000, 0.0000)
K (0.0000, 0.5000, 0.5000)
K (0.5000, 0.0000, 0.5000)
K (0.5000, 0.5000, 0.0000)
Mg (0.2500, 0.2500, 0.2500)
Mg (0.2500, 0.2500, 0.7500)
Mg (0.2500, 0.7500, 0.2500)
Mg (0.2500, 0.7500, 0.7500)
Mg (0.7500, 0.2500, 0.2500)
Mg (0.7500, 0.2500, 0.7500)
Mg (0.7500, 0.7500, 0.2500)
Mg (0.7500, 0.7500, 0.7500)
Os (0.0000, 0.0000, 0.5000)
Os (0.0000, 0.5000, 0.0000)
Os (0.5000, 0.0000, 0.0000)
Os (0.5000, 0.5000, 0.5000)

Computed properties:
Space-group type: Fm-3m
Spin magnetization, Bohr magnetons per cell: 0.000
Polymorph energy (0 for the lowest one), eV/atom: 0.3431
ΔH_f (0 K), eV/atom: 0.78

---

13.
## KMg2Os (PBE)

Data for a relaxed structure of KMg2Os.

abc: 2.7828 5.4001 5.8038
angles: 90.00 90.00 90.00
Sites, in units of the cell vectors:
K (0.0000, 0.0000, 0.0000)
Mg (0.0000, 0.5000, 0.5000)
Mg (0.5000, 0.5000, 0.0000)
Os (0.5000, 0.0000, 0.5000)

Computed properties:
Space-group type: Pmmm
Spin magnetization, Bohr magnetons per cell: 0.000
Polymorph energy (0 for the lowest one), eV/atom: 0.4966
ΔH_f (0 K), eV/atom: 0.94

---

14.
## K2MgOs (PBE)

Data for a relaxed structure of K2MgOs.

abc: 20.6838 2.8318 4.7042
angles: 90.00 102.95 90.00
Sites, in units of the cell vectors:
K (0.1465, 0.0000, 0.1430)
K (0.3535, 0.5000, 0.8570)
K (0.6465, 0.5000, 0.1430)
K (0.8535, 0.0000, 0.8570)
Mg (0.0000, 0.0000, 0.5000)
Mg (0.5000, 0.5000, 0.5000)
Os (0.0000, 0.5000, 0.0000)
Os (0.5000, 0.0000, 0.0000)

Computed properties:
Space-group type: C2/m
Spin magnetization, Bohr magnetons per cell: 0.000
ΔH_f (0 K), eV/atom: 0.72

---

15.
## KMg2Os (PBE)

Data for a relaxed structure of KMg2Os.

abc: 3.4134 4.7976 10.7535
angles: 90.00 90.00 90.00
Sites, in units of the cell vectors:
K (0.0000, 0.0000, 0.0000)
K (0.5000, 0.5000, 0.0000)
Mg (0.0000, 0.5000, 0.3083)
Mg (0.0000, 0.5000, 0.6917)
Mg (0.5000, 0.0000, 0.3083)
Mg (0.5000, 0.0000, 0.6917)
Os (0.0000, 0.0000, 0.5000)
Os (0.5000, 0.5000, 0.5000)

Computed properties:
Space-group type: Cmmm
Spin magnetization, Bohr magnetons per cell: 0.000
Polymorph energy (0 for the lowest one), eV/atom: 0.1368
ΔH_f (0 K), eV/atom: 0.58